An optimized crystal structure of Y4Tl2Ag. Source: Alexandria, functional PBE-GGA.

Cell: 5.2401 5.2401 25.6340 Å, 90.00 90.00 120.00°
Space group R-3m (No. 166, hexagonal axes)
Unique sites:
1 Y 0.0000 0.0000 0.1244
2 Y 0.0000 0.0000 0.3749
3 Tl 0.0000 0.0000 0.2525
4 Ag 0.0000 0.0000 0.5000

Output
E   -5.026 eV/atom
Theoretical density   7.13 g/cm3
Formation energy   -0.25 eV per atom